A crystal of HgI2NO relaxed with PBEsol, computed with meta-GGA SCAN.

Unit cell a=5.961 b=5.961 c=3.982 alpha=90.00 beta=90.00 gamma=90.00
Space group P4/mmm (No. 123)
Asymmetric unit:
Hg1 0.000 0.000 0.000 x1
I1 0.000 0.500 0.000 x2
N1 0.500 0.500 0.500 x1
O1 0.000 0.000 0.500 x1

The total moment is 2.725 μB/cell. The total energy is -1.1096 Ha/atom.